! K2WAu, relaxed, DFT GGA-PBEsol; values from VASP
&SYSTEM
  ibrav = 0, nat = 4, ntyp = 3
/
ATOMIC_SPECIES
K 39.10 K.upf
W 183.84 W.upf
Au 196.97 Au.upf
ATOMIC_POSITIONS angstrom
K 0.499 0.000 1.355
K 1.931 0.000 3.949
W 1.374 2.924 0.000
Au -0.159 2.924 2.652
CELL_PARAMETERS angstrom
2.748 0.000 0.000
0.000 5.848 0.000
-0.318 0.000 5.304
! - Mass density: 8.94 g cm⁻³
! - Spin magnetization: 0.0 μB per formula unit
! - Energy: -3.860 eV/atom
! - Formation enthalpy at 0 K: 1.140 eV per atom
! - Distance to the lowest polymorph of the same formula: 0 kJ/mol of formula units

! KW3Au, relaxed, DFT GGA-PBEsol; values from VASP
&SYSTEM
  ibrav = 0, nat = 5, ntyp = 3
/
ATOMIC_SPECIES
K 39.10 K.upf
W 183.84 W.upf
Au 196.97 Au.upf
ATOMIC_POSITIONS angstrom
K 0.000 0.000 0.000
W 0.000 2.468 2.468
W 2.468 0.000 2.468
W 2.468 2.468 0.000
Au 2.468 2.468 2.468
CELL_PARAMETERS angstrom
4.936 0.000 0.000
0.000 4.936 0.000
0.000 0.000 4.936
! - Mass density: 10.88 g cm⁻³
! - Spin magnetization: 0.0 μB per formula unit
! - Energy: -6.404 eV/atom
! - Formation enthalpy at 0 K: 2.892 eV per atom

! KWAu, relaxed, DFT GGA-PBEsol; values from VASP
&SYSTEM
  ibrav = 0, nat = 3, ntyp = 3
/
ATOMIC_SPECIES
K 39.10 K.upf
W 183.84 W.upf
Au 196.97 Au.upf
ATOMIC_POSITIONS angstrom
K 0.000 0.000 0.000
W 0.000 0.000 10.903
Au 0.000 0.000 5.101
CELL_PARAMETERS angstrom
-1.386 1.386 7.864
1.386 -1.386 7.864
1.386 1.386 -7.864
! - Mass density: 11.55 g cm⁻³
! - Spin magnetization: 0.3 μB per formula unit
! - Energy: -5.376 eV/atom
! - Formation enthalpy at 0 K: 0.912 eV per atom

! KW2Au, relaxed, DFT GGA-PBEsol; values from VASP
&SYSTEM
  ibrav = 0, nat = 4, ntyp = 3
/
ATOMIC_SPECIES
K 39.10 K.upf
W 183.84 W.upf
Au 196.97 Au.upf
ATOMIC_POSITIONS angstrom
K 0.000 0.000 0.000
W 0.000 0.000 5.323
W 1.360 1.360 3.126
Au 1.360 1.360 7.447
CELL_PARAMETERS angstrom
2.720 0.000 0.000
0.000 2.720 0.000
0.000 0.000 10.254
! - Mass density: 13.22 g cm⁻³
! - Spin magnetization: 0.0 μB per formula unit
! - Energy: -7.411 eV/atom
! - Formation enthalpy at 0 K: 0.757 eV per atom
! - Distance to the lowest polymorph of the same formula: 0 kJ/mol of formula units

Among the records above, which one has the lowest mass density?
K2WAu